# 1
A relaxed HoNbHg crystal, computed with PBE.

Summary:
total magnetization = 1.91 μB per formula unit
calculated formation energy = 0.556 eV per atom

```
HoNbHg
1.0
6.8117 0.0000 0.0000
0.0000 6.8117 0.0000
0.0000 0.0000 6.8117
Ho Nb Hg
4 4 4
direct
0.0000 0.0000 0.0000
0.0000 0.5000 0.5000
0.5000 0.0000 0.5000
0.5000 0.5000 0.0000
0.0000 0.0000 0.5000
0.0000 0.5000 0.0000
0.5000 0.0000 0.0000
0.5000 0.5000 0.5000
0.2500 0.2500 0.2500
0.2500 0.7500 0.7500
0.7500 0.2500 0.7500
0.7500 0.7500 0.2500
```

=====

# 2
A relaxed NdHoHg6 crystal, computed with PBE.

Summary:
total magnetization = 0.01 μB per formula unit
calculated formation energy = -0.359 eV per atom

```
NdHoHg6
1.0
6.6426 0.0000 0.0000
-3.3213 5.7526 0.0000
0.0000 0.0000 5.0224
Nd Ho Hg
1 1 6
direct
0.0000 0.0000 0.0000
0.6667 0.3333 0.5000
0.1705 0.3411 0.5000
0.1705 0.8295 0.5000
0.5009 0.0018 0.0000
0.5009 0.4991 0.0000
0.6589 0.8295 0.5000
0.9982 0.4991 0.0000
```

=====

# 3
A relaxed Ho6Ni2Hg crystal, computed with PBE.

Summary:
total magnetization = 0.01 μB per formula unit
calculated formation energy = -0.349 eV per atom

```
Ho6Ni2Hg
1.0
-4.6144 4.8105 4.9892
4.6144 -4.8105 4.9892
4.6144 4.8105 -4.9892
Ho Ni Hg
12 4 2
direct
0.0345 0.2343 0.8001
0.1824 0.2905 0.4729
0.1824 0.7095 0.8919
0.3253 0.0188 0.6934
0.3253 0.6319 0.3066
0.4342 0.2343 0.1999
0.5658 0.7657 0.8001
0.6747 0.3681 0.6934
0.6747 0.9812 0.3066
0.8176 0.2905 0.1081
0.8176 0.7095 0.5271
0.9655 0.7657 0.1999
0.1230 0.6230 0.5000
0.3556 0.0000 0.3556
0.6444 0.0000 0.6444
0.8770 0.3770 0.5000
0.0000 0.0000 0.0000
0.5000 0.5000 0.0000
```

=====

# 4
A relaxed Ho4Ni2Hg5 crystal, computed with PBE.

Summary:
total magnetization = 0.01 μB per formula unit
calculated formation energy = -0.455 eV per atom

```
Ho4Ni2Hg5
1.0
7.5069 0.0000 0.0000
0.0000 3.5867 0.0000
-0.5916 0.0000 9.3221
Ho Ni Hg
4 2 5
direct
0.1768 0.0000 0.3417
0.2210 0.0000 0.9365
0.7790 0.0000 0.0635
0.8232 0.0000 0.6583
0.0664 0.5000 0.1279
0.9336 0.5000 0.8721
0.1650 0.5000 0.6437
0.4445 0.5000 0.1670
0.5000 0.5000 0.5000
0.5555 0.5000 0.8330
0.8350 0.5000 0.3563
```

=====

# 5
A relaxed Ho2HgO4 crystal, computed with PBE.

Summary:
total magnetization = 0.00 μB per formula unit
electronic total energy = -6.7642 eV/atom

```
Ho2HgO4
1.0
0.0000 4.7868 4.7868
4.7868 0.0000 4.7868
4.7868 4.7868 0.0000
Ho Hg O
4 2 8
direct
0.0000 0.0000 0.0000
0.0000 0.0000 0.5000
0.0000 0.5000 0.0000
0.5000 0.0000 0.0000
0.3750 0.3750 0.3750
0.6250 0.6250 0.6250
0.2059 0.7647 0.7647
0.2353 0.2353 0.2353
0.2353 0.2353 0.7941
0.2353 0.7941 0.2353
0.7647 0.2059 0.7647
0.7647 0.7647 0.2059
0.7647 0.7647 0.7647
0.7941 0.2353 0.2353
```

=====

# 6
A relaxed HoHgPO crystal, computed with PBE.

Summary:
total magnetization = 0.00 μB per formula unit
electronic total energy = -5.0920 eV/atom

```
HoHgPO
1.0
4.0494 0.0000 0.0000
0.0000 6.1559 0.0000
0.0000 0.0000 6.6132
Ho Hg P O
2 2 2 2
direct
0.0000 0.0295 0.0000
0.0000 0.9705 0.5000
0.5000 0.4345 0.4158
0.5000 0.5655 0.9158
0.5000 0.2103 0.7399
0.5000 0.7897 0.2399
0.0000 0.2228 0.2713
0.0000 0.7772 0.7713
```

=====

# 7
A relaxed HoHgPO crystal, computed with PBE.

Summary:
total magnetization = 0.00 μB per formula unit
electronic total energy = -5.3051 eV/atom

```
HoHgPO
1.0
4.0553 0.0000 0.0000
0.0000 4.0553 0.0000
0.0000 0.0000 8.8952
Ho Hg P O
2 2 2 2
direct
0.2500 0.2500 0.1151
0.7500 0.7500 0.8849
0.2500 0.7500 0.5000
0.7500 0.2500 0.5000
0.2500 0.2500 0.7069
0.7500 0.7500 0.2931
0.2500 0.7500 0.0000
0.7500 0.2500 0.0000
```

=====

# 8
A relaxed HoHgPO crystal, computed with PBE.

Summary:
total magnetization = 0.00 μB per formula unit
electronic total energy = -5.1055 eV/atom

```
HoHgPO
1.0
4.2121 0.0000 0.0000
0.0000 6.8661 0.0000
0.0000 0.0000 5.9180
Ho Hg P O
2 2 2 2
direct
0.0000 0.2061 0.0000
0.0000 0.7939 0.5000
0.5000 0.3688 0.5111
0.5000 0.6312 0.0111
0.0000 0.1953 0.4986
0.0000 0.8047 0.9986
0.5000 0.2891 0.0016
0.5000 0.7109 0.5016
```

=====

# 9
A relaxed HoHgPO crystal, computed with PBE.

Summary:
total magnetization = 0.00 μB per formula unit
electronic total energy = -4.9635 eV/atom

```
HoHgPO
1.0
5.7433 0.0000 0.0000
0.0000 5.7433 0.0000
0.0000 0.0000 4.6783
Ho Hg P O
2 2 2 2
direct
0.2500 0.7500 0.0000
0.7500 0.2500 0.0000
0.2500 0.2500 0.4982
0.7500 0.7500 0.5018
0.2500 0.2500 0.9983
0.7500 0.7500 0.0017
0.2500 0.7500 0.5000
0.7500 0.2500 0.5000
```

=====

# 10
A relaxed HoHgSO crystal, computed with PBE.

Summary:
total magnetization = 0.00 μB per formula unit
electronic total energy = -5.2403 eV/atom

```
HoHgSO
1.0
7.0054 0.0000 0.0000
0.0000 7.2160 0.0000
-0.4017 0.0000 6.5579
Ho Hg S O
4 4 4 4
direct
0.0185 0.1396 0.2937
0.0185 0.3604 0.7937
0.9815 0.6396 0.2063
0.9815 0.8604 0.7063
0.4838 0.6872 0.9960
0.4838 0.8128 0.4960
0.5162 0.1872 0.5040
0.5162 0.3128 0.0040
0.2480 0.0701 0.9537
0.2480 0.4299 0.4537
0.7520 0.5701 0.5463
0.7520 0.9299 0.0463
0.1017 0.6426 0.9093
0.1017 0.8574 0.4093
0.8983 0.1426 0.5907
0.8983 0.3574 0.0907
```

=====

# 11
A relaxed HoHgSO crystal, computed with PBE.

Summary:
total magnetization = 0.00 μB per formula unit
electronic total energy = -5.1123 eV/atom

```
HoHgSO
1.0
4.5661 0.0000 0.0000
0.0000 8.5767 0.0000
0.0000 0.0000 5.2641
Ho Hg S O
2 2 2 2
direct
0.0000 0.1410 0.0000
0.0000 0.8590 0.5000
0.5000 0.3096 0.5665
0.5000 0.6904 0.0665
0.5000 0.3052 0.0727
0.5000 0.6948 0.5727
0.0000 0.0886 0.6164
0.0000 0.9114 0.1164
```

=====

# 12
A relaxed HoHgSO crystal, computed with PBE.

Summary:
total magnetization = 0.00 μB per formula unit
electronic total energy = -4.8844 eV/atom

```
HoHgSO
1.0
7.9547 0.0000 0.0000
0.0000 8.6261 0.0000
0.0000 0.0000 5.3177
Ho Hg S O
4 4 4 4
direct
0.0676 0.1681 0.0000
0.4324 0.1681 0.5000
0.5676 0.8319 0.0000
0.9324 0.8319 0.5000
0.1628 0.6108 0.9161
0.3372 0.6108 0.4161
0.6628 0.3892 0.9161
0.8372 0.3892 0.4161
0.1004 0.1114 0.5018
0.3996 0.1114 0.0018
0.6004 0.8886 0.5018
0.8996 0.8886 0.0018
0.0210 0.3960 0.0409
0.4790 0.3960 0.5409
0.5210 0.6040 0.0409
0.9790 0.6040 0.5409
```